This record from Alexandria describes ZrInCl2 after structural relaxation. The functional is PBE.

ΔE to the lowest computed polymorph (eV/atom): 0.771

POSCAR file:
```
ZrInCl2
1.0
5.2574 0.0000 0.0000
0.0000 5.2574 0.0000
0.0000 0.0000 3.3159
Zr In Cl
1 1 2
Cartesian
0.0000 0.0000 0.0000
2.6287 2.6287 0.0000
0.0000 2.6287 1.6580
2.6287 0.0000 1.6580
```


This record from Alexandria describes Pa2Te2NO after structural relaxation. The functional is PBE.

E_tot (eV per formula unit): -50.093

POSCAR file:
```
Pa2Te2NO
1.0
-2.7739 8.8133 2.7655
2.7739 -8.8133 2.7655
2.7739 8.8133 -2.7655
Pa Te N O
4 4 2 2
Cartesian
1.3300 1.2480 0.0000
1.3300 -1.2480 2.7655
1.4439 10.0614 0.0000
1.4439 7.5653 2.7655
4.1471 2.9230 0.0000
1.3732 5.8904 0.0000
1.4007 2.9230 2.7655
-1.3732 5.8904 2.7655
0.0000 0.0000 1.3827
0.0000 0.0000 4.1482
2.7739 0.0000 1.3827
0.0000 8.8133 1.3827
```


This record from Alexandria describes AlSiPb after structural relaxation. The functional is PBE.

ΔE to the lowest computed polymorph (eV/atom): 0.039

POSCAR file:
```
AlSiPb
1.0
4.1401 0.0000 0.0000
0.0000 3.7966 0.0000
-0.7832 0.0000 8.3796
Al Si Pb
2 2 2
Cartesian
0.6371 0.9492 1.7479
2.7197 2.8475 6.6317
0.5076 2.8475 8.3372
2.8492 0.9492 0.0424
0.6470 0.9492 5.1760
2.7098 2.8475 3.2036
```


This record from Alexandria describes NaTiCu3 after structural relaxation. The functional is PBE.

ΔH_f (0 K) (eV per atom): 0.86
ΔE to the lowest computed polymorph (eV/atom): 0.000

POSCAR file:
```
NaTiCu3
1.0
4.7959 0.0000 0.0000
0.0000 4.7959 0.0000
0.0000 0.0000 4.7959
Na Ti Cu
1 1 3
Cartesian
0.0000 0.0000 0.0000
2.3980 2.3980 2.3980
0.0000 2.3980 2.3980
2.3980 0.0000 2.3980
2.3980 2.3980 0.0000
```


The total magnetic moment results, record by record, are as follows: 1.8 0.9 0.0 1.0 μB per formula unit.
The D(E_F) results, record by record, are as follows: 2.95 11.43 2.16 3.44 states/eV/cell.